An optimized crystal structure of ErBiW2O9, computed with PBE+U.

Summary:
**ρ**: 8.03 Mg/m³
**Energy**: -7.4000 eV per atom
**Volume**: 183.7 Å³/f.u.

The structure in extended XYZ format:
```
26
Lattice="-3.103 -2.350 0.076 2.708 -3.688 -3.485 6.207 -7.772 13.047" Properties=species:S:1:pos:R:3 pbc="T T T"
O 0.718 -4.165 0.219
O 2.109 -2.715 2.128
O 3.456 -4.551 0.393
O 3.876 -5.002 3.558
O 3.057 -7.095 5.138
Er 3.929 -8.186 6.970
O 2.134 -5.789 7.785
W 3.636 -4.552 7.642
Bi 7.240 -9.214 10.629
O 2.351 -3.161 -1.764
O 5.292 -6.626 11.123
O 3.901 -8.076 9.215
Er 2.080 -2.605 4.373
O 1.267 -4.770 3.955
W 2.374 -6.239 3.700
O 4.742 -6.022 7.388
O 1.102 -1.460 -0.156
W 3.654 -7.693 10.980
O 6.367 -11.318 9.622
O 5.927 -7.636 5.863
Bi -1.230 -1.577 0.713
O 2.790 -6.844 1.995
W 2.355 -3.098 0.362
O 4.908 -9.331 11.499
O 5.261 -9.929 7.464
O 2.952 -3.696 6.205
```